(1)
A relaxed LaIrRh4 crystal, computed with PBE.

a b c (Å): 5.2698 5.2698 5.2698
angles (deg): 60.00 60.00 60.00
With the nearest neighbours (Å) after each atom.
Fractional positions:
La 0.0000 0.0000 0.0000  12 Rh 3.09, 4 Ir 3.23
Ir 0.2500 0.2500 0.2500  12 Rh 3.09, 4 La 3.23
Rh 0.1286 0.6238 0.6238  6 Rh 2.61-2.66
Rh 0.6238 0.1286 0.6238  6 Rh 2.61-2.66
Rh 0.6238 0.6238 0.1286  6 Rh 2.61-2.66
Rh 0.6238 0.6238 0.6238  6 Rh 2.61-2.66

Values from the calculation:
* V: 17.25 Å³ per atom
* energy above the most stable polymorph in this dataset: 129 meV/atom
* DFT total energy: -7.2086 eV per atom



(2)
A relaxed RbTlCl3 crystal, computed with PBE.

a b c (Å): 9.8550 9.8550 7.1775
angles (deg): 90.00 90.00 148.91
With the nearest neighbours (Å) after each atom.
Fractional positions:
Rb 0.1521 0.8479 0.7500  4 Cl 3.30-3.40
Rb 0.8479 0.1521 0.2500  4 Cl 3.30-3.40
Tl 0.4579 0.5421 0.7500  6 Cl 3.09-3.29
Tl 0.5421 0.4579 0.2500  6 Cl 3.09-3.29
Cl 0.0000 0.0000 0.0000  4 Tl 3.29, 2 Rb 3.40, 2 Cl 3.59
Cl 0.0000 0.0000 0.5000  4 Tl 3.29, 2 Rb 3.40, 2 Cl 3.59
Cl 0.0583 0.4361 0.7500  2 Cl 2.61-2.67
Cl 0.4361 0.0583 0.2500  2 Cl 2.61-2.67
Cl 0.5639 0.9417 0.7500  2 Cl 2.61-2.67
Cl 0.9417 0.5639 0.2500  2 Cl 2.61-2.67

Values from the calculation:
* V: 35.99 Å³ per atom
* raw formation energy: -1.064 eV/atom
* DFT total energy: -2.8384 eV per atom



(3)
A relaxed MgSbTe2 crystal, computed with PBE.

a b c (Å): 3.7529 3.7529 7.5218
angles (deg): 90.00 90.00 90.00
With the nearest neighbours (Å) after each atom.
Fractional positions:
Mg 0.0000 0.0000 0.0000  8 Te 3.19
Sb 0.0000 0.0000 0.5000  8 Te 3.31
Te 0.5000 0.5000 0.2360  4 Mg 3.19, 4 Sb 3.31, 1 Te 3.55
Te 0.5000 0.5000 0.7640  4 Mg 3.19, 4 Sb 3.31, 1 Te 3.55

Values from the calculation:
* V: 26.48 Å³ per atom
* energy above the most stable polymorph in this dataset: 276 meV/atom
* raw formation energy: -0.084 eV/atom
* DFT total energy: -3.0841 eV per atom



- What is the V in the third record?
  26.48 Å³ per atom



- What is the V in the third record?
  26.48 Å³ per atom